# Ba2Sn3HgPt4

A relaxed structure of Ba2Sn3HgPt4 (GGA-PBE, the Alexandria database).

```
Ba2Sn3HgPt4
1.0
4.871 0.000 0.000
0.000 4.871 0.000
0.000 0.000 10.520
Pt Hg Sn Ba
4 1 3 2
Direct
0.000 0.000 0.000 Pt
0.000 0.500 0.370 Pt
0.500 0.500 0.000 Pt
0.500 0.000 0.630 Pt
0.500 0.500 0.500 Hg
0.500 0.000 0.884 Sn
0.000 0.000 0.500 Sn
0.000 0.500 0.116 Sn
0.000 0.500 0.752 Ba
0.500 0.000 0.248 Ba
```

Values from the calculation:
ρ = 10.722 g/cm³
SG = P-4m2

# Ba2SrHgPt

A relaxed structure of Ba2SrHgPt (GGA-PBE, the Alexandria database).

```
Ba2SrHgPt
1.0
6.188 0.000 0.000
0.000 6.188 0.000
0.000 0.000 5.881
Hg Ba Sr Pt
1 2 1 1
Direct
0.500 0.500 0.500 Hg
0.500 0.000 0.000 Ba
0.000 0.500 0.000 Ba
0.000 0.000 0.500 Sr
0.000 0.000 0.000 Pt
```

Values from the calculation:
ρ = 5.590 g/cm³
SG = P4/mmm

# BaTl2HgPt

A relaxed structure of BaTl2HgPt (GGA-PBE, the Alexandria database).

```
BaTl2HgPt
1.0
5.378 0.000 0.000
0.000 5.378 0.000
0.000 0.000 5.389
Ba Tl Hg Pt
1 2 1 1
Direct
0.500 0.500 0.500 Ba
0.000 0.500 0.000 Tl
0.500 0.000 0.000 Tl
0.000 0.000 0.500 Hg
0.000 0.000 0.000 Pt
```

Values from the calculation:
ΔE to the lowest computed polymorph = 0.26 eV/f.u.
ρ = 10.033 g/cm³
SG = P4/mmm

# Ba2TlHg6Pt

A relaxed structure of Ba2TlHg6Pt (GGA-PBE, the Alexandria database).

```
Ba2TlHg6Pt
1.0
-4.468 -4.071 5.528
4.659 -6.125 -0.745
5.799 3.525 7.283
Ba Hg Tl Pt
4 12 2 2
Direct
0.500 0.731 0.280 Ba
0.500 0.731 0.720 Ba
0.000 0.269 0.780 Ba
0.000 0.269 0.220 Ba
0.500 0.202 0.251 Hg
0.000 0.798 0.751 Hg
0.174 0.999 0.500 Hg
0.500 0.202 0.749 Hg
0.000 0.798 0.249 Hg
0.674 0.001 0.000 Hg
0.182 0.606 0.000 Hg
0.318 0.394 0.500 Hg
0.818 0.606 0.000 Hg
0.682 0.394 0.500 Hg
0.826 0.999 0.500 Hg
0.326 0.001 0.000 Hg
0.500 0.413 0.000 Tl
0.000 0.587 0.500 Tl
0.500 0.034 0.500 Pt
0.000 0.966 0.000 Pt
```

Values from the calculation:
ρ = 9.891 g/cm³
SG = Pmmn

# Ba2Tl5Hg3Pt2

A relaxed structure of Ba2Tl5Hg3Pt2 (GGA-PBE, the Alexandria database).

```
Ba2Tl5Hg3Pt2
1.0
5.346 0.000 0.000
0.000 5.346 0.000
-2.673 -2.673 14.639
Pt Ba Hg Tl
2 2 3 5
Direct
0.593 0.593 0.187 Pt
0.407 0.407 0.813 Pt
0.699 0.699 0.398 Ba
0.301 0.301 0.602 Ba
0.000 0.000 0.000 Hg
0.820 0.820 0.640 Hg
0.180 0.180 0.360 Hg
0.898 0.398 0.797 Tl
0.500 0.500 0.000 Tl
0.398 0.898 0.797 Tl
0.602 0.102 0.203 Tl
0.102 0.602 0.203 Tl
```

Values from the calculation:
ρ = 9.081 g/cm³
SG = I4/mmm

# BaTl2HgPt

A relaxed structure of BaTl2HgPt (GGA-PBE, the Alexandria database).

```
BaTl2HgPt
1.0
-3.857 2.928 -2.262
0.661 -2.669 -4.583
-4.205 -4.143 1.806
Ba Hg Tl Pt
1 1 2 1
Direct
0.000 0.000 0.500 Ba
0.500 0.500 0.500 Hg
0.500 0.000 0.000 Tl
0.000 0.500 0.000 Tl
0.000 0.000 0.000 Pt
```

Values from the calculation:
ΔE to the lowest computed polymorph = 0.00 eV/f.u.
ρ = 8.869 g/cm³
SG = P4/mmm

# Ba2Tl3HgPt4

A relaxed structure of Ba2Tl3HgPt4 (GGA-PBE, the Alexandria database).

```
Ba2Tl3HgPt4
1.0
-0.431 -2.067 -4.472
-3.802 -2.716 1.621
-6.808 7.777 -2.938
Tl Pt Ba Hg
3 4 2 1
Direct
0.000 0.500 0.120 Tl
0.000 0.000 0.500 Tl
0.500 0.000 0.880 Tl
0.000 0.500 0.374 Pt
0.500 0.000 0.626 Pt
0.000 0.000 0.000 Pt
0.500 0.500 0.000 Pt
0.000 0.500 0.763 Ba
0.500 0.000 0.237 Ba
0.500 0.500 0.500 Hg
```

Values from the calculation:
ρ = 11.807 g/cm³
SG = P-4m2

# BaZnHg2Pt

A relaxed structure of BaZnHg2Pt (GGA-PBE, the Alexandria database).

```
BaZnHg2Pt
1.0
5.349 0.000 0.000
0.000 5.349 0.000
0.000 0.000 4.926
Hg Ba Pt Zn
2 1 1 1
Direct
0.000 0.500 0.000 Hg
0.500 0.000 0.000 Hg
0.500 0.500 0.500 Ba
0.000 0.000 0.000 Pt
0.000 0.000 0.500 Zn
```

Values from the calculation:
ρ = 9.413 g/cm³
SG = P4/mmm

| no. | energy of formation from the pure elements (eV per formula unit) |
| --- | --- |
| 1 | -7.1 |
| 2 | -2.4 |
| 3 | -1.2 |
| 4 | -3.0 |
| 5 | -2.5 |
| 6 | -1.5 |
| 7 | -4.1 |
| 8 | -2.0 |